(1)
Below is a relaxed Co2SbBr crystal, with properties calculated at the PBE level.

DFT total energy = -4.51 eV/atom
ΔE_f (raw) = 0.488 eV/atom
ΔE to the lowest computed polymorph = 0.373 eV/atom
Space-group type = P2/m, No. 10

Unit cell a=4.054 b=3.318 c=5.344 alpha=90.00 beta=91.87 gamma=90.00
Fractional positions:
Co 0.000 0.000 0.000
Co 0.500 0.500 0.500
Sb 0.000 0.000 0.500
Br 0.500 0.500 0.000

---

(2)
Below is a relaxed Nd2Er7Sc2 crystal, with properties calculated at the PBE level.

DFT total energy = -4.88 eV/atom
ΔE to the lowest computed polymorph = 0.000 eV/atom
Space-group type = P-1, No. 2

Unit cell a=3.618 b=8.838 c=11.011 alpha=104.48 beta=99.45 gamma=90.10
Fractional positions:
Nd 0.068 0.416 0.135
Nd 0.932 0.584 0.865
Er 0.000 0.000 0.000
Er 0.294 0.407 0.586
Er 0.346 0.830 0.697
Er 0.426 0.236 0.850
Er 0.574 0.764 0.150
Er 0.654 0.170 0.303
Er 0.706 0.593 0.414
Sc 0.202 0.895 0.403
Sc 0.798 0.105 0.597